! Rb2MnAs2O6, relaxed, DFT PBE+U; values from VASP
! VASP energy: -5.909 eV/atom
! Volume: 16.87 Å³ per atom
! Total magnetization: 5.0 μB/f.u.
&SYSTEM
  ibrav = 0, nat = 11, ntyp = 4
/
ATOMIC_SPECIES
Rb 85.47 Rb.upf
Mn 54.94 Mn.upf
As 74.92 As.upf
O 16.00 O.upf
ATOMIC_POSITIONS crystal
Rb 0.224 0.224 0.224
Rb 0.776 0.776 0.776
Mn 0.000 0.000 0.000
As 0.431 0.431 0.431
As 0.569 0.569 0.569
O 0.246 0.246 0.728
O 0.246 0.728 0.246
O 0.272 0.754 0.754
O 0.728 0.246 0.246
O 0.754 0.272 0.754
O 0.754 0.754 0.272
CELL_PARAMETERS angstrom
2.992 1.727 5.986
-2.992 1.727 5.986
0.000 -3.454 5.986